(1)
12
Lattice="5.162 0.000 0.000 0.000 10.117 0.000 0.000 0.000 6.871" Properties=species:S:1:pos:R:3 comment="PrY3Tl2 (GGA-PBE, optimized geometry)" polymorph_energy_ev_per_atom=0.000 m_tot_mub_per_fu=0.000 e_form_ev_per_atom=-0.2981 space_group="No. 26" pbc="T T T"
Pr 0.000 0.443 0.000
Pr 0.000 9.674 3.435
Y 0.000 3.211 4.253
Y 0.000 6.906 0.818
Y 2.581 1.945 1.902
Y 2.581 4.597 6.216
Y 2.581 5.520 2.781
Y 2.581 8.172 5.337
Tl 0.000 3.735 1.092
Tl 0.000 6.382 4.528
Tl 2.581 1.400 5.058
Tl 2.581 8.716 1.623

(2)
10
Lattice="4.364 2.519 5.989 -4.364 2.519 5.989 0.000 -5.039 5.989" Properties=species:S:1:pos:R:3 comment="AcNd3Sn (GGA-PBE, optimized geometry)" m_tot_mub_per_fu=0.706 e_form_ev_per_atom=-0.0175 space_group="No. 161" pbc="T T T"
Ac 0.000 0.000 0.000
Ac 0.000 0.000 8.984
Nd -2.270 -3.008 8.729
Nd -2.094 -0.489 5.735
Nd 1.470 -1.569 5.735
Nd 0.624 2.058 5.735
Nd -1.470 3.470 8.729
Nd 3.740 -0.461 8.729
Sn 0.000 0.000 3.411
Sn 0.000 0.000 12.395

(3)
5
Lattice="4.487 0.000 0.000 0.000 4.487 0.000 0.000 0.000 4.487" Properties=species:S:1:pos:R:3 comment="Co3ReTe (GGA-PBE, optimized geometry)" polymorph_energy_ev_per_atom=0.000 m_tot_mub_per_fu=0.000 formation_energy_uncorrected_mev_per_atom=1328 space_group="No. 221" pbc="T T T"
Co 0.000 0.000 2.244
Co 0.000 2.244 0.000
Co 2.244 0.000 0.000
Re 0.000 0.000 0.000
Te 2.244 2.244 2.244

Number 1: calculated total energy -5.116 eV/atom. Number 2: calculated total energy -4.500 eV/atom. Number 3: calculated total energy -6.053 eV/atom.